No. 1
Density functional theory data (PBE) for MgSc3Ga2 after structural relaxation.

DOS at the Fermi energy (states/eV/f.u.): 3.90
ΔE_f (meV per atom): -424
Total moment (μB/f.u.): 0.00
E (eV per cell): -29.19
Relative energy among the computed polymorphs (meV/atom): 19

a b c (Å): 3.4224 3.4224 10.3205
angles (deg): 90.00 90.00 90.00
Last column: nearest neighbours and their distance in Å.
Fractional positions:
Mg1 0.5000 0.5000 0.5000  8 Sc 3.07, 4 Mg 3.42
Sc1 0.0000 0.0000 0.0000  8 Ga 2.95, 2 Sc 3.27
Sc2 0.0000 0.0000 0.6835  4 Ga 2.89, 4 Mg 3.07
Sc3 0.0000 0.0000 0.3165  4 Ga 2.89, 4 Mg 3.07
Ga1 0.5000 0.5000 0.8365  8 Sc 2.89-2.95
Ga2 0.5000 0.5000 0.1635  8 Sc 2.89-2.95

No. 2
Density functional theory data (PBE) for TaCd2Fe after structural relaxation.

DOS at the Fermi energy (states/eV/f.u.): 2.90
ΔE_f (meV per atom): 840
Total moment (μB/f.u.): 2.14
E (eV per cell): -37.57
Relative energy among the computed polymorphs (meV/atom): 686

a b c (Å): 7.5367 7.5367 5.9697
angles (deg): 50.86 50.86 90.00
Last column: nearest neighbours and their distance in Å.
Fractional positions:
Cd1 0.5975 0.1250 0.2500  2 Fe 2.61, 2 Cd 2.72, 2 Ta 2.89
Cd2 0.1525 0.6250 0.2500  2 Fe 2.61, 2 Cd 2.72, 2 Ta 2.89
Cd3 0.3750 0.4025 0.7500  2 Fe 2.61, 2 Cd 2.72, 2 Ta 2.89
Cd4 0.8750 0.8475 0.7500  2 Fe 2.61, 2 Cd 2.72, 2 Ta 2.89
Fe1 0.5000 0.5000 0.0000  4 Cd 2.61, 2 Ta 2.69
Fe2 0.2500 0.7500 0.5000  4 Cd 2.61, 2 Ta 2.69
Ta1 0.0000 0.0000 0.0000  2 Fe 2.69, 4 Cd 2.89
Ta2 0.7500 0.2500 0.5000  2 Fe 2.69, 4 Cd 2.89

No. 3
Density functional theory data (PBE) for Ca2InCl after structural relaxation.

Formation energy without anion corrections (eV/atom): -0.943
DOS at the Fermi energy (states/eV/f.u.): 0.99
Total moment (μB/f.u.): 0.00
E (eV per cell): -12.36
Relative energy among the computed polymorphs (meV/atom): 135

a b c (Å): 4.3423 4.3423 6.4932
angles (deg): 90.00 90.00 90.00
Last column: nearest neighbours and their distance in Å.
Fractional positions:
Ca1 0.0000 0.0000 0.9206  1 Cl 2.84, 4 In 3.10
Ca2 0.5000 0.5000 0.3673  4 Cl 3.07, 2 In 3.16-3.33
Cl1 0.0000 0.0000 0.3583  5 Ca 2.84-3.07
In1 0.5000 0.5000 0.8538  6 Ca 3.10-3.33

No. 4
Density functional theory data (PBE) for MgMnIrAu after structural relaxation.

DOS at the Fermi energy (states/eV/f.u.): 1.75
ΔE_f (meV per atom): -215
Total moment (μB/f.u.): 4.32
E (eV per cell): -23.76

a b c (Å): 4.4644 4.4644 4.4644
angles (deg): 60.00 60.00 60.00
Last column: nearest neighbours and their distance in Å.
Fractional positions:
Mg1 0.2500 0.2500 0.2500  4 Ir 2.73, 4 Au 2.73
Ir1 0.5000 0.5000 0.5000  4 Mn 2.73, 4 Mg 2.73
Au1 0.0000 0.0000 0.0000  4 Mg 2.73, 4 Mn 2.73
Mn1 0.7500 0.7500 0.7500  4 Ir 2.73, 4 Au 2.73

No. 5
Density functional theory data (PBE) for Tb7Tl2Sn2 after structural relaxation.

DOS at the Fermi energy (states/eV/f.u.): 9.95
ΔE_f (meV per atom): -131
Total moment (μB/f.u.): 0.00
E (eV per cell): -46.59

a b c (Å): 6.9358 7.6721 6.9358
angles (deg): 90.00 108.83 90.00
Last column: nearest neighbours and their distance in Å.
Fractional positions:
Tb1 0.9998 0.2913 0.5003  2 Tl 3.04, 1 Tb 3.20, 2 Sn 3.29-3.30
Tb2 0.5003 0.7087 0.9998  2 Tl 3.04, 1 Tb 3.20, 2 Sn 3.29-3.30
Tb3 0.0002 0.7087 0.4997  2 Tl 3.04, 1 Tb 3.20, 2 Sn 3.29-3.30
Tb4 0.4997 0.2913 0.0002  2 Tl 3.04, 1 Tb 3.20, 2 Sn 3.29-3.30
Tb5 0.0000 0.0000 0.0000  2 Tl 3.25
Tb6 0.5002 0.7400 0.4998  2 Tl 3.11, 2 Sn 3.17, 4 Tb 3.48
Tb7 0.4998 0.2600 0.5002  2 Tl 3.11, 2 Sn 3.17, 4 Tb 3.48
Tl1 0.7116 0.0000 0.2884  7 Tb 3.04-3.25
Tl2 0.2884 0.0000 0.7116  7 Tb 3.04-3.25
Sn1 0.8202 0.5000 0.8202  1 Sn 2.90, 2 Tb 3.17
Sn2 0.1798 0.5000 0.1798  1 Sn 2.90, 2 Tb 3.17

No. 6
Density functional theory data (PBE) for HgMoRh2 after structural relaxation.

DOS at the Fermi energy (states/eV/f.u.): 4.59
ΔE_f (meV per atom): 175
Total moment (μB/f.u.): 0.00
E (eV per cell): -25.14

a b c (Å): 4.7956 4.7956 5.0463
angles (deg): 80.70 80.70 34.25
Last column: nearest neighbours and their distance in Å.
Fractional positions:
Hg1 0.7500 0.7500 0.7500  2 Hg 2.82, 6 Rh 2.83-2.88, 4 Mo 2.89
Mo1 0.2500 0.2500 0.2500  6 Rh 2.73-2.77, 2 Mo 2.82, 4 Hg 2.89
Rh1 0.9950 0.9950 0.0238  4 Rh 2.70-2.82, 3 Mo 2.73-2.77, 3 Hg 2.83-2.88
Rh2 0.5050 0.5050 0.4762  4 Rh 2.70-2.82, 3 Mo 2.73-2.77, 3 Hg 2.83-2.88

No. 7
Density functional theory data (PBE) for Ca2DyThSb4 after structural relaxation.

Formation energy without anion corrections (eV/atom): -0.956
DOS at the Fermi energy (states/eV/f.u.): 5.57
Total moment (μB/f.u.): 0.00
E (eV per cell): -40.17

a b c (Å): 4.5054 7.7682 7.8277
angles (deg): 109.48 90.00 90.00
Last column: nearest neighbours and their distance in Å.
Fractional positions:
Ca1 0.5000 0.0000 0.5000  6 Sb 3.24
Ca2 0.0000 0.5000 0.5000  6 Sb 3.20
Dy1 0.5000 0.5000 0.0000  6 Sb 3.13
Th1 0.0000 0.0000 0.0000  6 Sb 3.17
Sb1 0.5000 0.2522 0.2437  1 Dy 3.13, 2 Th 3.17, 3 Ca 3.20-3.24
Sb2 0.5000 0.7478 0.7563  1 Dy 3.13, 2 Th 3.17, 3 Ca 3.20-3.24
Sb3 0.0000 0.2573 0.7598  2 Dy 3.13, 1 Th 3.17, 3 Ca 3.20-3.24
Sb4 0.0000 0.7427 0.2402  2 Dy 3.13, 1 Th 3.17, 3 Ca 3.20-3.24

No. 8
Density functional theory data (PBE) for CePmBiCl after structural relaxation.

Formation energy without anion corrections (eV/atom): -0.985
DOS at the Fermi energy (states/eV/f.u.): 7.34
Total moment (μB/f.u.): 2.06
E (eV per cell): -20.35

a b c (Å): 5.4028 5.4028 5.4028
angles (deg): 60.00 60.00 60.00
Last column: nearest neighbours and their distance in Å.
Fractional positions:
Cl1 0.2500 0.2500 0.2500  4 Ce 3.31, 4 Pm 3.31
Bi1 0.7500 0.7500 0.7500  4 Ce 3.31, 4 Pm 3.31
Ce1 0.5000 0.5000 0.5000  4 Bi 3.31, 4 Cl 3.31
Pm1 0.0000 0.0000 0.0000  4 Cl 3.31, 4 Bi 3.31

No. 9
Density functional theory data (PBE) for VSbRu2 after structural relaxation.

Formation energy without anion corrections (eV/atom): 0.401
DOS at the Fermi energy (states/eV/f.u.): 5.67
Total moment (μB/f.u.): 0.00
E (eV per cell): -60.38

a b c (Å): 4.0706 4.0706 8.9221
angles (deg): 76.81 76.81 90.00
Last column: nearest neighbours and their distance in Å.
Fractional positions:
Sb1 0.0000 0.0000 0.0000  4 Ru 2.62, 4 V 2.88
Sb2 0.7500 0.2500 0.5000  4 Ru 2.62, 4 V 2.88
Ru1 0.5868 0.1250 0.2500  2 V 2.50, 2 Sb 2.62, 2 Ru 2.67
Ru2 0.1632 0.6250 0.2500  2 V 2.50, 2 Sb 2.62, 2 Ru 2.67
Ru3 0.3750 0.4132 0.7500  2 V 2.50, 2 Sb 2.62, 2 Ru 2.67
Ru4 0.8750 0.8368 0.7500  2 V 2.50, 2 Sb 2.62, 2 Ru 2.67
V1 0.5000 0.5000 0.0000  4 Ru 2.50
V2 0.2500 0.7500 0.5000  4 Ru 2.50

No. 10
Density functional theory data (PBE) for Er3Ni after structural relaxation.

DOS at the Fermi energy (states/eV/f.u.): 5.95
ΔE_f (meV per atom): -3
Total moment (μB/f.u.): 0.01
E (eV per cell): -19.48

a b c (Å): 3.5195 3.4311 8.8799
angles (deg): 90.00 90.00 90.00
Last column: nearest neighbours and their distance in Å.
Fractional positions:
Ni1 0.0000 0.0000 0.9883  6 Er 2.72-2.73
Er1 0.0000 0.5000 0.4675  10 Er 3.43-3.54
Er2 0.5000 0.5000 0.1230  4 Ni 2.73
Er3 0.5000 0.0000 0.7545  2 Ni 2.72

No. 11
Density functional theory data (PBE) for Mn2Pd2Cl after structural relaxation.

Formation energy without anion corrections (eV/atom): 0.317
DOS at the Fermi energy (states/eV/f.u.): 5.98
Total moment (μB/f.u.): 1.44
E (eV per cell): -28.98
Relative energy among the computed polymorphs (meV/atom): 306

a b c (Å): 3.2008 3.2008 7.9215
angles (deg): 78.34 78.34 90.00
Last column: nearest neighbours and their distance in Å.
Fractional positions:
Mn1 0.7500 0.2500 0.5000  4 Mn 2.26
Mn2 0.2500 0.7500 0.5000  4 Mn 2.26
Pd1 0.3820 0.3820 0.2360  4 Mn 2.56
Pd2 0.6180 0.6180 0.7640  4 Mn 2.56
Cl1 0.0000 0.0000 0.0000  8 Pd 2.89, 4 Cl 3.20

No. 12
Density functional theory data (PBE) for AlIrOs2Se after structural relaxation.

Formation energy without anion corrections (eV/atom): 1.921
DOS at the Fermi energy (states/eV/f.u.): 5.08
Total moment (μB/f.u.): 0.00
E (eV per cell): -28.94

a b c (Å): 4.4581 4.4996 4.4581
angles (deg): 90.00 90.00 90.00
Last column: nearest neighbours and their distance in Å.
Fractional positions:
Ir1 0.5000 0.5000 0.5000  4 Se 3.15, 8 Os 3.17
Os1 0.0000 0.0000 0.5000  2 Al 2.23
Os2 0.5000 0.0000 0.0000  2 Al 2.23
Al1 0.0000 0.0000 0.0000  4 Os 2.23, 2 Se 2.25
Se1 0.0000 0.5000 0.0000  2 Al 2.25

No. 13
Density functional theory data (PBE) for NaCe2I6 after structural relaxation.

Formation energy without anion corrections (eV/atom): -1.282
DOS at the Fermi energy (states/eV/f.u.): 14.45
Total moment (μB/f.u.): 3.01
E (eV per cell): -34.03
Relative energy among the computed polymorphs (meV/atom): 0

a b c (Å): 7.4955 7.9059 7.9059
angles (deg): 120.00 90.00 90.00
Last column: nearest neighbours and their distance in Å.
Fractional positions:
Na1 0.0000 0.0000 0.0000  6 I 3.29
Ce1 0.5000 0.6667 0.3333  6 I 3.20
Ce2 0.5000 0.3333 0.6667  6 I 3.20
I1 0.7491 0.6583 0.6583  2 Ce 3.20, 1 Na 3.29
I2 0.2509 0.6583 0.0000  2 Ce 3.20, 1 Na 3.29
I3 0.2509 0.0000 0.6583  2 Ce 3.20, 1 Na 3.29
I4 0.7491 0.3417 0.0000  2 Ce 3.20, 1 Na 3.29
I5 0.2509 0.3417 0.3417  2 Ce 3.20, 1 Na 3.29
I6 0.7491 0.0000 0.3417  2 Ce 3.20, 1 Na 3.29